# NbReAs3

An optimized crystal structure of NbReAs3 (GGA-PBEsol, the Alexandria database).

abc: 4.757 4.757 4.757
angles: 90.00 90.00 90.00
Space group Pm-3m (No. 221)
Symmetry-distinct sites (fractional):
Nb1 0.000 0.000 0.000 (multiplicity 1)
Re1 0.500 0.500 0.500 (multiplicity 1)
As1 0.000 0.500 0.500 (multiplicity 3)

Values from the calculation:
The value obtained for the theoretical density is 7.774 g cm⁻³. The calculation puts the calculated volume at 21.526 Å³/atom. The value obtained for the formation energy is 1053 meV/atom. The crystal system is cubic. The calculation puts the calculated total energy at -6.8414 eV/atom.

---

# NbAsRhSe2

An optimized crystal structure of NbAsRhSe2 (GGA-PBEsol, the Alexandria database).

abc: 4.874 4.874 4.939
angles: 90.00 90.00 90.00
Space group P4/mmm (No. 123)
Symmetry-distinct sites (fractional):
Nb1 0.000 0.000 0.000 (multiplicity 1)
As1 0.000 0.000 0.500 (multiplicity 1)
Rh1 0.500 0.500 0.500 (multiplicity 1)
Se1 0.000 0.500 0.000 (multiplicity 2)

Values from the calculation:
The value obtained for the theoretical density is 6.068 g cm⁻³. The calculation puts the calculated volume at 23.461 Å³/atom. The crystal system is tetragonal. The energy above the lowest structure with this stoichiometry comes out at 0.47 eV/f.u. The calculation puts the calculated total energy at -5.6437 eV/atom. The uncorrected formation energy is 710 meV per atom.